(1)
Compound: Ac2La7Pr3
Source: Alexandria via LeMat-Bulk
Functional: PBE-GGA
Structure: optimized geometry

Cell: 3.741 6.141 20.079 Å, 93.36 90.00 90.00°
Element x y z (fractional)
Pr 0.000 0.786 0.632
La 0.000 0.324 0.859
La 0.500 0.257 0.532
La 0.500 0.177 0.173
Pr 0.500 0.500 0.000
Ac 0.500 0.299 0.705
La 0.500 0.743 0.468
La 0.000 0.000 0.000
Pr 0.000 0.214 0.368
La 0.000 0.676 0.141
Ac 0.500 0.701 0.295
La 0.500 0.823 0.827

Properties
- crystal system = monoclinic
- calculated total energy (eV per atom) = -4.672
- energy relative to the elements (kJ per mole of atoms) = 7.9
- total magnetization (μB/f.u.) = 0.0
- space group = P2/m

***

(2)
Compound: Tb2Tl3Cd3
Source: Alexandria via LeMat-Bulk
Functional: PBE-GGA
Structure: optimized geometry

Cell: 4.766 4.649 9.132 Å, 90.00 90.00 90.00°
Element x y z (fractional)
Cd 0.500 0.500 0.759
Tl 0.500 0.000 0.500
Cd 0.500 0.500 0.241
Tl 0.000 0.500 0.000
Tb 0.000 0.000 0.251
Cd 0.500 0.000 0.000
Tl 0.000 0.500 0.500
Tb 0.000 0.000 0.749

Properties
- crystal system = orthorhombic
- calculated total energy (eV per atom) = -2.647
- energy relative to the elements (kJ per mole of atoms) = -25.0
- total magnetization (μB/f.u.) = 0.0
- space group = Pmmm

***

(3)
Compound: V2Fe2Ir3
Source: Alexandria via LeMat-Bulk
Functional: PBE-GGA
Structure: optimized geometry

Cell: 3.896 2.666 9.022 Å, 90.00 77.53 90.00°
Element x y z (fractional)
Ir 0.845 0.000 0.310
Ir 0.155 0.000 0.690
Fe 0.284 0.500 0.432
Fe 0.716 0.500 0.568
V 0.578 0.500 0.844
Ir 0.000 0.000 0.000
V 0.422 0.500 0.156

Properties
- crystal system = orthorhombic
- calculated total energy (eV per atom) = -9.093
- energy relative to the elements (kJ per mole of atoms) = -26.3
- total magnetization (μB/f.u.) = 1.5
- space group = Cmmm

***

(4)
Compound: ErGeSe3
Source: Alexandria via LeMat-Bulk
Functional: PBE-GGA
Structure: optimized geometry

Cell: 6.759 7.352 10.315 Å, 90.00 92.18 90.00°
Element x y z (fractional)
Se 0.830 0.337 0.421
Se 0.170 0.663 0.579
Se 0.670 0.837 0.079
Ge 0.083 0.109 0.436
Er 0.061 0.378 0.753
Se 0.651 0.800 0.421
Se 0.849 0.300 0.079
Er 0.439 0.878 0.747
Se 0.330 0.163 0.921
Ge 0.583 0.391 0.936
Se 0.151 0.700 0.921
Er 0.939 0.622 0.247
Se 0.667 0.535 0.739
Ge 0.417 0.609 0.064
Se 0.333 0.465 0.261
Se 0.833 0.035 0.761
Se 0.167 0.965 0.239
Er 0.561 0.122 0.253
Ge 0.917 0.891 0.564
Se 0.349 0.200 0.579

Properties
- crystal system = monoclinic
- calculated total energy (eV per atom) = -4.908
- total magnetization (μB/f.u.) = 0.0
- space group = P2_1/c